# InCuB4, optimized geometry, DFT GGA-PBE
data_InCuB4
_chemical_formula_sum 'In1 Cu1 B4'
_symmetry_space_group_name_H-M 'P 6/m m m'
_symmetry_Int_Tables_number 191
_symmetry_space_group_name_Hall '-P 6 2'
_cell_length_a 3.1129
_cell_length_b 3.1129
_cell_length_c 7.1060
_cell_angle_alpha 90.00
_cell_angle_beta 90.00
_cell_angle_gamma 120.00
loop_
_atom_site_label
_atom_site_type_symbol
_atom_site_fract_x
_atom_site_fract_y
_atom_site_fract_z
_atom_site_occupancy
In1 In 0.0000 0.0000 0.0000 1
Cu1 Cu 0.0000 0.0000 0.5000 1
B1 B 0.3333 0.6667 0.2803 1
# E (eV/atom): -5.0660
# Crystal system: hexagonal

=====

# LiB4Mo, optimized geometry, DFT GGA-PBE
data_LiB4Mo
_chemical_formula_sum 'Li4 B16 Mo4'
_symmetry_space_group_name_H-M 'P b a m'
_symmetry_Int_Tables_number 55
_cell_length_a 5.9698
_cell_length_b 11.5657
_cell_length_c 3.3240
_cell_angle_alpha 90.00
_cell_angle_beta 90.00
_cell_angle_gamma 90.00
loop_
_symmetry_equiv_pos_as_xyz
'x,y,z'
'-x,-y,-z'
'-x,-y,z'
'x,y,-z'
'x+1/2,-y+1/2,-z'
'-x+1/2,y+1/2,z'
'-x+1/2,y+1/2,-z'
'x+1/2,-y+1/2,z'
loop_
_atom_site_label
_atom_site_type_symbol
_atom_site_fract_x
_atom_site_fract_y
_atom_site_fract_z
_atom_site_occupancy
Li1 Li 0.1233 0.1511 0.0000 1
B1 B 0.0171 0.6991 0.5000 1
B2 B 0.1255 0.5531 0.5000 1
B3 B 0.1259 0.9686 0.5000 1
B4 B 0.1932 0.8125 0.5000 1
Mo1 Mo 0.1365 0.4119 0.0000 1
# E (eV/atom): -6.6355
# Crystal system: orthorhombic

=====

What did the first record say?
# InCuB4, optimized geometry, DFT GGA-PBE
data_InCuB4
_chemical_formula_sum 'In1 Cu1 B4'
_symmetry_space_group_name_H-M 'P 6/m m m'
_symmetry_Int_Tables_number 191
_symmetry_space_group_name_Hall '-P 6 2'
_cell_length_a 3.1129
_cell_length_b 3.1129
_cell_length_c 7.1060
_cell_angle_alpha 90.00
_cell_angle_beta 90.00
_cell_angle_gamma 120.00
loop_
_atom_site_label
_atom_site_type_symbol
_atom_site_fract_x
_atom_site_fract_y
_atom_site_fract_z
_atom_site_occupancy
In1 In 0.0000 0.0000 0.0000 1
Cu1 Cu 0.0000 0.0000 0.5000 1
B1 B 0.3333 0.6667 0.2803 1
# E (eV/atom): -5.0660
# Crystal system: hexagonal

=====

Q: The lowest E belongs to which entry?
A: LiB4Mo

=====

Q: The highest E belongs to which entry?
A: InCuB4

=====

Q: Among the records above, which one has the lowest E?
A: LiB4Mo